[1]
Pr8ZnNi2 | PBE | optimized geometry

Lattice parameters (Å, degrees): 5.2823 6.9108 9.6214 108.80 105.93 90.00
With the nearest neighbours (Å) after each atom.
Fractional coordinates of all 11 atoms:
Pr (0.4063, 0.5214, 0.8126)  1 Zn 3.18, 2 Ni 3.22, 3 Pr 3.47-3.55
Pr (0.6794, 0.0090, 0.3589)  1 Ni 2.76
Pr (0.8036, 0.6533, 0.6071)  1 Ni 2.85
Pr (0.9672, 0.2134, 0.9344)  1 Ni 2.70
Pr (0.1964, 0.3467, 0.3929)  1 Ni 2.85
Pr (0.3206, 0.9910, 0.6411)  1 Ni 2.76
Pr (0.5937, 0.4786, 0.1874)  1 Zn 3.18, 2 Ni 3.22, 3 Pr 3.47-3.55
Pr (0.0328, 0.7866, 0.0656)  1 Ni 2.70
Zn (0.5000, 0.0000, 0.0000)  8 Pr 3.18-3.30
Ni (0.8295, 0.2696, 0.6591)  3 Pr 2.70-2.85
Ni (0.1705, 0.7304, 0.3409)  3 Pr 2.70-2.85

Values from the calculation:
The value obtained for the formation energy is -134 meV/atom. As for the calculated volume: 318 Å³/cell. The calculation puts the excess energy over the best structure of this formula in the dataset at 0.000 eV per atom. The density of states at the Fermi level is 10.046 states/eV per cell.

***

[2]
PrZnNi | PBE | optimized geometry

Lattice parameters (Å, degrees): 3.9256 7.1934 12.6688 90.00 90.00 90.00
With the nearest neighbours (Å) after each atom.
Fractional coordinates of all 18 atoms:
Pr (0.0000, 0.2563, 0.9583)  5 Ni 2.99-3.01, 6 Zn 3.24-3.30
Pr (0.0000, 0.7437, 0.0417)  5 Ni 2.99-3.01, 6 Zn 3.24-3.30
Pr (0.0000, 0.2563, 0.5417)  5 Ni 2.99-3.01, 6 Zn 3.24-3.30
Pr (0.0000, 0.7437, 0.4583)  5 Ni 2.99-3.01, 6 Zn 3.24-3.30
Pr (0.0000, 0.1223, 0.2500)  5 Ni 2.86-3.06, 2 Zn 3.18
Pr (0.0000, 0.8777, 0.7500)  5 Ni 2.86-3.06, 2 Zn 3.18
Zn (0.5000, 0.4198, 0.1398)  3 Ni 2.58-2.74, 1 Zn 2.79
Zn (0.5000, 0.5802, 0.8602)  3 Ni 2.58-2.74, 1 Zn 2.79
Zn (0.5000, 0.4198, 0.3602)  3 Ni 2.58-2.74, 1 Zn 2.79
Zn (0.5000, 0.5802, 0.6398)  3 Ni 2.58-2.74, 1 Zn 2.79
Zn (0.5000, 0.7749, 0.2500)  4 Ni 2.55-2.81
Zn (0.5000, 0.2251, 0.7500)  4 Ni 2.55-2.81
Ni (0.5000, 0.0481, 0.0916)  1 Ni 2.42
Ni (0.5000, 0.9519, 0.9084)  1 Ni 2.42
Ni (0.5000, 0.0481, 0.4084)  1 Ni 2.42
Ni (0.5000, 0.9519, 0.5916)  1 Ni 2.42
Ni (0.0000, 0.5479, 0.2500)  6 Zn 2.55-2.58
Ni (0.0000, 0.4521, 0.7500)  6 Zn 2.55-2.58

Values from the calculation:
The value obtained for the formation energy is -355 meV/atom. As for the calculated volume: 358 Å³/cell. The calculation puts the excess energy over the best structure of this formula in the dataset at 0.006 eV per atom. The density of states at the Fermi level is 11.161 states/eV per cell.

***

[3]
PrZn4Ni | PBE | optimized geometry

Lattice parameters (Å, degrees): 4.7292 6.6337 7.3330 90.00 108.81 90.00
With the nearest neighbours (Å) after each atom.
Fractional coordinates of all 12 atoms:
Pr (0.3980, 0.7500, 0.7961)  13 Zn 3.06-3.33
Pr (0.6020, 0.2500, 0.2039)  13 Zn 3.06-3.33
Zn (0.2150, 0.4435, 0.4300)  1 Ni 2.40, 4 Zn 2.57-2.66
Zn (0.7850, 0.5565, 0.5700)  1 Ni 2.40, 4 Zn 2.57-2.66
Zn (0.2150, 0.0565, 0.4300)  1 Ni 2.40, 4 Zn 2.57-2.66
Zn (0.7850, 0.9435, 0.5700)  1 Ni 2.40, 4 Zn 2.57-2.66
Zn (0.6188, 0.7500, 0.2377)  2 Ni 2.37, 2 Zn 2.64
Zn (0.3812, 0.2500, 0.7623)  2 Ni 2.37, 2 Zn 2.64
Zn (0.0000, 0.5000, 0.0000)  2 Ni 2.38
Zn (0.0000, 0.0000, 0.0000)  2 Ni 2.38
Ni (0.1232, 0.7500, 0.2464)  6 Zn 2.37-2.40
Ni (0.8768, 0.2500, 0.7536)  6 Zn 2.37-2.40

Values from the calculation:
The value obtained for the formation energy is -205 meV/atom. As for the calculated volume: 218 Å³/cell. The calculation puts the excess energy over the best structure of this formula in the dataset at 0.000 eV per atom. The density of states at the Fermi level is 5.305 states/eV per cell.

***

[4]
Pr5ZnNi2 | PBE | optimized geometry

Lattice parameters (Å, degrees): 8.0120 8.0120 8.6913 117.45 117.45 90.00
With the nearest neighbours (Å) after each atom.
Fractional coordinates of all 16 atoms:
Pr (0.5221, 0.6979, 0.7200)  3 Ni 2.92-3.11
Pr (0.8021, 0.9779, 0.2800)  3 Ni 2.92-3.11
Pr (0.0000, 0.0000, 0.0000)  4 Ni 3.21, 2 Zn 3.30, 8 Pr 3.52
Pr (0.5000, 0.5000, 0.0000)  4 Ni 3.21, 2 Zn 3.30, 8 Pr 3.52
Pr (0.1979, 0.0221, 0.7200)  3 Ni 2.92-3.11
Pr (0.6979, 0.1979, 0.7200)  3 Ni 2.92-3.11
Pr (0.0221, 0.5221, 0.7200)  3 Ni 2.92-3.11
Pr (0.3021, 0.8021, 0.2800)  3 Ni 2.92-3.11
Pr (0.9779, 0.4779, 0.2800)  3 Ni 2.92-3.11
Pr (0.4779, 0.3021, 0.2800)  3 Ni 2.92-3.11
Zn (0.7500, 0.7500, 0.5000)  10 Pr 3.30-3.33
Zn (0.2500, 0.2500, 0.5000)  10 Pr 3.30-3.33
Ni (0.1173, 0.3827, 0.0000)  1 Ni 2.66, 4 Pr 2.92
Ni (0.6173, 0.1173, 0.0000)  1 Ni 2.66, 4 Pr 2.92
Ni (0.3827, 0.8827, 0.0000)  1 Ni 2.66, 4 Pr 2.92
Ni (0.8827, 0.6173, 0.0000)  1 Ni 2.66, 4 Pr 2.92

Values from the calculation:
The value obtained for the formation energy is -199 meV/atom. As for the calculated volume: 423 Å³/cell. The density of states at the Fermi level is 17.664 states/eV per cell.

***

[5]
Pr3Zn4Ni2 | PBE | optimized geometry

Lattice parameters (Å, degrees): 4.3723 5.8811 8.6330 68.48 75.33 68.18
With the nearest neighbours (Å) after each atom.
Fractional coordinates of all 9 atoms:
Pr (0.3241, 0.6998, 0.6521)  4 Ni 3.04-3.34, 8 Zn 3.14-3.32
Pr (0.0000, 0.0000, 0.0000)  8 Zn 3.04-3.27, 4 Ni 3.09
Pr (0.6759, 0.3002, 0.3479)  4 Ni 3.04-3.34, 8 Zn 3.14-3.32
Zn (0.2807, 0.3791, 0.0595)  1 Ni 2.53, 2 Zn 2.59
Zn (0.7193, 0.6209, 0.9405)  1 Ni 2.53, 2 Zn 2.59
Zn (0.0440, 0.2867, 0.6253)  2 Ni 2.52, 1 Zn 2.62
Zn (0.9560, 0.7133, 0.3747)  2 Ni 2.52, 1 Zn 2.62
Ni (0.3959, 0.9363, 0.2719)  3 Zn 2.52-2.53
Ni (0.6041, 0.0637, 0.7281)  3 Zn 2.52-2.53

Values from the calculation:
The value obtained for the formation energy is -331 meV/atom. As for the calculated volume: 190 Å³/cell. The calculation puts the excess energy over the best structure of this formula in the dataset at 0.000 eV per atom. The density of states at the Fermi level is 6.319 states/eV per cell.

***

[6]
PrZn2Ni4 | PBE | optimized geometry

Lattice parameters (Å, degrees): 5.6201 5.6201 5.6201 102.89 102.89 123.64
With the nearest neighbours (Å) after each atom.
Fractional coordinates of all 7 atoms:
Pr (0.0000, 0.0000, 0.0000)  8 Ni 3.09
Zn (0.2500, 0.7500, 0.5000)  4 Ni 2.34
Zn (0.7500, 0.2500, 0.5000)  4 Ni 2.34
Ni (0.7245, 0.5000, 0.2245)  2 Ni 2.22, 2 Zn 2.34
Ni (0.5000, 0.7245, 0.2245)  2 Ni 2.22, 2 Zn 2.34
Ni (0.5000, 0.2755, 0.7755)  2 Ni 2.22, 2 Zn 2.34
Ni (0.2755, 0.5000, 0.7755)  2 Ni 2.22, 2 Zn 2.34

Values from the calculation:
The value obtained for the formation energy is 232 meV/atom. As for the calculated volume: 130 Å³/cell. The calculation puts the excess energy over the best structure of this formula in the dataset at 0.465 eV per atom. The density of states at the Fermi level is 8.599 states/eV per cell.

***

[7]
Pr3Zn8Ni3 | PBE | optimized geometry

Lattice parameters (Å, degrees): 4.2927 8.1539 8.1539 70.73 74.74 74.74
With the nearest neighbours (Å) after each atom.
Fractional coordinates of all 14 atoms:
Pr (0.5000, 0.5000, 0.5000)  12 Zn 3.05-3.31
Pr (0.8211, 0.1789, 0.1789)  4 Ni 3.01-3.11, 10 Zn 3.07-3.36
Pr (0.1789, 0.8211, 0.8211)  4 Ni 3.01-3.11, 10 Zn 3.07-3.36
Zn (0.6137, 0.1014, 0.6712)  3 Ni 2.48-2.58, 2 Zn 2.62
Zn (0.3863, 0.8986, 0.3288)  3 Ni 2.48-2.58, 2 Zn 2.62
Zn (0.6137, 0.6712, 0.1014)  3 Ni 2.48-2.58, 2 Zn 2.62
Zn (0.3863, 0.3288, 0.8986)  3 Ni 2.48-2.58, 2 Zn 2.62
Zn (0.8312, 0.8132, 0.5245)  1 Ni 2.52, 4 Zn 2.62-2.82
Zn (0.1688, 0.1868, 0.4755)  1 Ni 2.52, 4 Zn 2.62-2.82
Zn (0.8312, 0.5245, 0.8132)  1 Ni 2.52, 4 Zn 2.62-2.82
Zn (0.1688, 0.4755, 0.1868)  1 Ni 2.52, 4 Zn 2.62-2.82
Ni (0.5000, 0.0000, 0.0000)  4 Zn 2.48
Ni (0.0000, 0.7878, 0.2122)  6 Zn 2.52-2.58
Ni (0.0000, 0.2122, 0.7878)  6 Zn 2.52-2.58

Values from the calculation:
The value obtained for the formation energy is -308 meV/atom. As for the calculated volume: 255 Å³/cell. The density of states at the Fermi level is 10.693 states/eV per cell.

***

[8]
PrZn4Ni | PBE | optimized geometry

Lattice parameters (Å, degrees): 5.2699 5.2699 5.2699 60.00 60.00 60.00
With the nearest neighbours (Å) after each atom.
Fractional coordinates of all 6 atoms:
Pr (0.0000, 0.0000, 0.0000)  12 Zn 3.09, 4 Ni 3.23
Ni (0.2500, 0.2500, 0.2500)  12 Zn 3.09, 4 Pr 3.23
Zn (0.6234, 0.6234, 0.1297)  6 Zn 2.60-2.67
Zn (0.6234, 0.1297, 0.6234)  6 Zn 2.60-2.67
Zn (0.6234, 0.6234, 0.6234)  6 Zn 2.60-2.67
Zn (0.1297, 0.6234, 0.6234)  6 Zn 2.60-2.67

Values from the calculation:
The value obtained for the formation energy is -128 meV/atom. As for the calculated volume: 103 Å³/cell. The calculation puts the excess energy over the best structure of this formula in the dataset at 0.077 eV per atom. The density of states at the Fermi level is 3.794 states/eV per cell.

***

[9]
Pr3Zn2Ni | PBE | optimized geometry

Lattice parameters (Å, degrees): 4.6556 10.3170 12.5309 90.00 90.00 90.00
With the nearest neighbours (Å) after each atom.
Fractional coordinates of all 24 atoms:
Pr (0.2500, 0.3924, 0.0580)  1 Ni 2.78, 2 Zn 3.06
Pr (0.7500, 0.6076, 0.9420)  1 Ni 2.78, 2 Zn 3.06
Pr (0.7500, 0.8924, 0.4420)  1 Ni 2.78, 2 Zn 3.06
Pr (0.2500, 0.1076, 0.5580)  1 Ni 2.78, 2 Zn 3.06
Pr (0.2500, 0.7167, 0.2408)  2 Ni 3.06, 5 Zn 3.09-3.27
Pr (0.7500, 0.2833, 0.7592)  2 Ni 3.06, 5 Zn 3.09-3.27
Pr (0.7500, 0.2167, 0.2592)  2 Ni 3.06, 5 Zn 3.09-3.27
Pr (0.2500, 0.7833, 0.7408)  2 Ni 3.06, 5 Zn 3.09-3.27
Pr (0.2500, 0.4349, 0.3931)  3 Ni 2.88-3.10, 3 Zn 3.06-3.14
Pr (0.7500, 0.5651, 0.6069)  3 Ni 2.88-3.10, 3 Zn 3.06-3.14
Pr (0.7500, 0.9349, 0.1069)  3 Ni 2.88-3.10, 3 Zn 3.06-3.14
Pr (0.2500, 0.0651, 0.8931)  3 Ni 2.88-3.10, 3 Zn 3.06-3.14
Zn (0.2500, 0.7080, 0.4875)  2 Ni 2.78, 4 Pr 3.06-3.09
Zn (0.7500, 0.2920, 0.5125)  2 Ni 2.78, 4 Pr 3.06-3.09
Zn (0.7500, 0.2080, 0.0125)  2 Ni 2.78, 4 Pr 3.06-3.09
Zn (0.2500, 0.7920, 0.9875)  2 Ni 2.78, 4 Pr 3.06-3.09
Zn (0.2500, 0.0166, 0.2951)  1 Ni 2.54
Zn (0.7500, 0.9834, 0.7049)  1 Ni 2.54
Zn (0.7500, 0.5166, 0.2049)  1 Ni 2.54
Zn (0.2500, 0.4834, 0.7951)  1 Ni 2.54
Ni (0.2500, 0.1327, 0.1160)  3 Zn 2.54-2.78, 1 Pr 2.78
Ni (0.7500, 0.8673, 0.8840)  3 Zn 2.54-2.78, 1 Pr 2.78
Ni (0.7500, 0.6327, 0.3840)  3 Zn 2.54-2.78, 1 Pr 2.78
Ni (0.2500, 0.3673, 0.6160)  3 Zn 2.54-2.78, 1 Pr 2.78

Values from the calculation:
The value obtained for the formation energy is -277 meV/atom. As for the calculated volume: 602 Å³/cell. The density of states at the Fermi level is 17.431 states/eV per cell.

***

[10]
Pr3Zn3Ni | PBE | optimized geometry

Lattice parameters (Å, degrees): 4.5311 3.7874 10.1276 100.78 102.93 90.00
With the nearest neighbours (Å) after each atom.
Fractional coordinates of all 7 atoms:
Pr (0.3200, 0.8200, 0.6400)  2 Ni 2.87, 4 Zn 3.09
Pr (0.6906, 0.1906, 0.3812)  7 Zn 3.13-3.41
Pr (0.9941, 0.9941, 0.9881)  8 Zn 3.11-3.34, 4 Ni 3.19
Zn (0.1364, 0.6364, 0.2727)  2 Zn 2.69
Zn (0.8664, 0.3664, 0.7328)  2 Ni 2.59
Zn (0.5613, 0.5613, 0.1227)  1 Ni 2.52, 2 Zn 2.69
Ni (0.4313, 0.4313, 0.8625)  3 Zn 2.52-2.59

Values from the calculation:
The value obtained for the formation energy is -302 meV/atom. As for the calculated volume: 166 Å³/cell. The density of states at the Fermi level is 5.307 states/eV per cell.